! TbB2Ir3, optimized geometry, DFT PBE-GGA; values from VASP
&SYSTEM
  ibrav = 0, nat = 18, ntyp = 3
/
ATOMIC_SPECIES
Tb 158.93 Tb.upf
B 10.81 B.upf
Ir 192.22 Ir.upf
CELL_PARAMETERS angstrom
8.9056 0.0000 0.0000
-4.4528 7.7125 0.0000
0.0000 0.0000 3.6194
ATOMIC_POSITIONS angstrom
Tb 0.0000 0.0000 0.0000
Tb 0.0000 5.1416 1.8097
Tb 4.4528 2.5708 1.8097
B 0.0000 2.9222 0.0000
B -1.9220 6.2513 0.0000
B 2.5307 1.4611 0.0000
B 1.9221 6.2513 0.0000
B 6.3748 1.4611 0.0000
B 4.4528 4.7902 0.0000
Ir -1.2578 2.1787 1.8097
Ir -2.2264 3.8562 0.0000
Ir -3.1949 5.5338 1.8097
Ir 2.5157 0.0000 1.8097
Ir 1.2578 2.1787 1.8097
Ir 4.4528 0.0000 0.0000
Ir 2.2264 3.8562 0.0000
Ir 6.3899 0.0000 1.8097
Ir 3.1949 5.5338 1.8097
! ΔE_f: -0.3750 eV per atom
! Theoretical density: 15.17 g/cm³
! Total energy: -46.8 eV per formula unit
! Energy relative to the lowest polymorph listed for this composition: 307 meV/atom
! Symmetry: P6/mmm (191)